No. 1
Nb2RhW2 | Alexandria | meta-GGA SCAN | single point on PBEsol structure; E_form = 1133.3 meV/atom; energy = -46.7481 eV per atom; size of the total moment = 0.000 μB/cell; V = 17.6 Å³/atom; mass density = 12.4 g cm⁻³
1.0
3.6050 0.0000 0.0000
0.0000 3.6050 0.0000
-1.8025 -1.8025 6.7616
W Nb Rh
2 2 1
direct
0.4126 0.4126 0.8252
0.5874 0.5874 0.1748
0.2500 0.7500 0.5000
0.7500 0.2500 0.5000
0.0000 0.0000 0.0000



No. 2
VAs | Alexandria | meta-GGA SCAN | single point on PBEsol structure; E_form = -570.9 meV/atom; energy = -19.4103 eV per atom; size of the total moment = 0.000 μB/cell; V = 14.7 Å³/atom; mass density = 7.1 g cm⁻³
1.0
-2.7213 -0.6930 -1.6857
1.8331 -5.4440 -0.7210
-2.8449 -1.6564 5.2737
As V
4 4
direct
0.7500 0.3089 0.0716
0.2500 0.1911 0.5716
0.7500 0.8089 0.4284
0.2500 0.6911 0.9284
0.7500 0.9947 0.8175
0.7500 0.4947 0.6825
0.2500 0.5053 0.3175
0.2500 0.0053 0.1825